This record from the Alexandria database describes an optimized crystal structure of Ac3La3Ni4. The functional is PBE-GGA.

Unit cell a=4.0628 b=8.1436 c=8.1436 alpha=91.14 beta=90.00 gamma=90.00
With the nearest neighbours (Å) after each atom.
Atoms (fractional coordinates):
Ac: 0.0000 0.5088 0.0265  3 Ni 3.04-3.30
Ac: 0.0000 0.9735 0.4912  3 Ni 3.04-3.30
Ac: 0.5000 0.1715 0.8285  6 Ni 3.14-3.23
La: 0.5000 0.8585 0.1415  4 Ni 2.96
La: 0.5000 0.3315 0.3505  6 Ni 2.97-3.25
La: 0.5000 0.6495 0.6685  6 Ni 2.97-3.25
Ni: 0.0000 0.6136 0.3864  1 Ni 2.63
Ni: 0.0000 0.3878 0.6122  1 Ni 2.63
Ni: 0.0000 0.8835 0.8782  1 Ni 2.72, 2 La 2.96
Ni: 0.0000 0.1218 0.1165  1 Ni 2.72, 2 La 2.96

Output
E = -5.197 eV/atom
total magnetization = 0.000 Bohr magnetons per cell
volume = 269.39 Å³ per cell
formation energy = -0.17 eV per atom